No. 1
## Mg2ScAs (PBE)

Data for crystalline Mg2ScAs at its relaxed geometry.

Properties
energy relative to the elements = -416 meV/atom

Cell: 4.1202 4.1202 4.7398 Å, 90.00 90.00 90.00°
Space group P4/mmm (No. 123)
Asymmetric unit:
Mg (0.0000, 0.5000, 0.0000)
Sc (0.0000, 0.0000, 0.5000)
As (0.5000, 0.5000, 0.5000)

---

No. 2
## VAuBr2 (PBE)

Data for crystalline VAuBr2 at its relaxed geometry.

Properties
formation energy without anion corrections = 0.3535 eV per atom

Cell: 3.1252 3.1252 36.8974 Å, 90.00 90.00 120.00°
Space group R-3m (No. 166, hexagonal axes)
Asymmetric unit:
V (0.0000, 0.0000, 0.0000)
Au (0.0000, 0.0000, 0.5000)
Br (0.0000, 0.0000, 0.0637)

---

Number 1: calculated volume 80.5 Å³/cell, calculated total energy -3.959 eV per atom. Number 2: calculated volume 312.1 Å³/cell, calculated total energy -3.582 eV per atom.